Entry 1:
This record from Alexandria describes a relaxed RbBH6 crystal. The functional is PBE.

Values from the calculation:
- space-group type = No. 166
- total DFT energy (no corrections) (Ry per atom) = -0.2363
- total moment (μB per formula unit) = 0.00

abc: 3.975 3.975 5.660
angles: 69.44 69.44 60.00
Fractional positions:
1 B 0.000 0.000 0.000
2 H 0.620 0.123 0.135
3 H 0.123 0.620 0.135
4 H 0.877 0.877 0.865
5 H 0.380 0.877 0.865
6 H 0.123 0.123 0.135
7 H 0.877 0.380 0.865
8 Rb 0.500 0.500 0.500

Entry 2:
This record from Alexandria describes a relaxed MnAlTcIr crystal. The functional is PBE.

Values from the calculation:
- formation energy (eV/atom) = -0.46
- space-group type = No. 216
- total DFT energy (no corrections) (Ry per atom) = -0.6242
- total moment (μB per formula unit) = 2.04

abc: 4.259 4.259 4.259
angles: 60.00 60.00 60.00
Each line ends with the local moment (μB).
Fractional positions:
1 Al 0.750 0.750 0.750  0.00
2 Ir 0.000 0.000 0.000  0.03
3 Mn 0.250 0.250 0.250  2.60
4 Tc 0.500 0.500 0.500  -0.60

Entry 3:
This record from Alexandria describes a relaxed MgCd2C2O6 crystal. The functional is PBE.

Values from the calculation:
- space-group type = No. 147
- total DFT energy (no corrections) (Ry per atom) = -0.4514
- ΔE_f (raw) (eV per atom) = -1.45
- total moment (μB per formula unit) = 0.00

abc: 4.792 4.792 7.430
angles: 90.00 90.00 120.00
Fractional positions:
1 C 0.667 0.333 0.834
2 C 0.333 0.667 0.166
3 O 0.920 0.618 0.831
4 O 0.382 0.303 0.831
5 O 0.618 0.697 0.169
6 O 0.697 0.080 0.831
7 O 0.303 0.920 0.169
8 O 0.080 0.382 0.169
9 Mg 0.000 0.000 0.000
10 Cd 0.333 0.667 0.633
11 Cd 0.667 0.333 0.367

Entry 4:
This record from Alexandria describes a relaxed CaCoTc2Sn crystal. The functional is PBE.

Values from the calculation:
- formation energy (eV/atom) = 2.10
- space-group type = No. 123
- total DFT energy (no corrections) (Ry per atom) = -0.3433
- total moment (μB per formula unit) = 0.28

abc: 4.678 4.280 4.678
angles: 90.00 90.00 90.00
Each line ends with the local moment (μB).
Fractional positions:
1 Tc 0.000 0.000 0.500  0.06
2 Tc 0.500 0.000 0.000  0.08
3 Co 0.000 0.500 0.000  -0.47
4 Ca 0.000 0.000 0.000  0.02
5 Sn 0.500 0.500 0.500  0.00

Entry 5:
This record from Alexandria describes a relaxed Ag2PbS2 crystal. The functional is PBE.

Values from the calculation:
- space-group type = No. 139
- total DFT energy (no corrections) (Ry per atom) = -0.2555
- ΔE_f (raw) (eV per atom) = 0.06
- total moment (μB per formula unit) = 0.00

abc: 5.043 5.043 5.664
angles: 63.57 63.57 90.00
Fractional positions:
1 Pb 0.000 0.000 0.000
2 S 0.750 0.250 0.500
3 S 0.250 0.750 0.500
4 Ag 0.659 0.659 0.681
5 Ag 0.341 0.341 0.319

Entry 6:
This record from Alexandria describes a relaxed Tc4W3 crystal. The functional is PBE.

Values from the calculation:
- formation energy (eV/atom) = 0.09
- space-group type = No. 139
- total DFT energy (no corrections) (Ry per atom) = -0.8368
- total moment (μB per formula unit) = 0.00

abc: 3.129 11.244 3.129
angles: 82.00 90.00 98.00
Fractional positions:
1 W 0.000 0.000 0.000
2 W 0.287 0.574 0.713
3 W 0.713 0.426 0.287
4 Tc 0.568 0.135 0.432
5 Tc 0.854 0.709 0.146
6 Tc 0.146 0.291 0.854
7 Tc 0.432 0.865 0.568

Entry 7:
This record from Alexandria describes a relaxed InGaHgPb crystal. The functional is PBE.

Values from the calculation:
- formation energy (eV/atom) = 0.04
- space-group type = No. 216
- total DFT energy (no corrections) (Ry per atom) = -0.1765
- total moment (μB per formula unit) = 0.00

abc: 5.285 5.285 5.285
angles: 60.00 60.00 60.00
Fractional positions:
1 In 0.500 0.500 0.500
2 Ga 0.250 0.250 0.250
3 Pb 0.000 0.000 0.000
4 Hg 0.750 0.750 0.750

Entry 8:
This record from Alexandria describes a relaxed DyPuHf crystal. The functional is PBE.

Values from the calculation:
- formation energy (eV/atom) = 0.22
- space-group type = No. 187
- total DFT energy (no corrections) (Ry per atom) = -0.6914
- total moment (μB per formula unit) = 5.35

abc: 3.177 5.289 5.289
angles: 120.00 90.00 90.00
Each line ends with the local moment (μB).
Fractional positions:
1 Hf 0.167 0.000 0.000  -0.12
2 Dy 0.667 0.667 0.333  -0.01
3 Pu 0.167 0.333 0.667  5.35

Entry 9:
This record from Alexandria describes a relaxed Ce2Al12Pd7 crystal. The functional is PBE.

Values from the calculation:
- formation energy (eV/atom) = -0.75
- space-group type = No. 174
- total DFT energy (no corrections) (Ry per atom) = -0.3811
- total moment (μB per formula unit) = 1.43

abc: 4.243 9.919 9.919
angles: 120.00 90.00 90.00
Each line ends with the local moment (μB).
Fractional positions:
1 Pd 0.500 0.913 0.340  -0.01
2 Pd 0.500 0.427 0.087  -0.01
3 Pd 0.000 0.212 0.313  0.00
4 Pd 0.500 0.660 0.573  -0.01
5 Pd 0.000 0.101 0.788  0.00
6 Pd 0.000 0.687 0.899  0.00
7 Pd 0.000 0.333 0.667  0.00
8 Ce 0.000 0.667 0.333  0.62
9 Ce 0.500 0.000 0.000  0.76
10 Al 0.500 0.683 0.069  0.00
11 Al 0.500 0.211 0.463  0.00
12 Al 0.000 0.462 0.959  0.00
13 Al 0.000 0.907 0.184  0.00
14 Al 0.000 0.041 0.503  0.00
15 Al 0.000 0.816 0.723  0.00
16 Al 0.500 0.251 0.789  0.00
17 Al 0.000 0.277 0.093  0.00
18 Al 0.500 0.386 0.317  0.00
19 Al 0.500 0.537 0.749  0.00
20 Al 0.000 0.497 0.538  0.00
21 Al 0.500 0.931 0.614  0.00

Entry 10:
This record from Alexandria describes a relaxed Dy2SbC crystal. The functional is PBE.

Values from the calculation:
- space-group type = No. 166
- total DFT energy (no corrections) (Ry per atom) = -0.3815
- ΔE_f (raw) (eV per atom) = 0.45
- total moment (μB per formula unit) = 1.01

abc: 4.706 4.706 7.901
angles: 72.67 72.67 60.00
Each line ends with the local moment (μB).
Fractional positions:
1 C 0.000 0.000 0.000  0.40
2 Dy 0.098 0.098 0.707  0.08
3 Dy 0.902 0.902 0.293  0.08
4 Sb 0.500 0.500 0.500  0.01

Entry 11:
This record from Alexandria describes a relaxed Sb2PdRh2 crystal. The functional is PBE.

Values from the calculation:
- space-group type = No. 139
- total DFT energy (no corrections) (Ry per atom) = -0.4060
- ΔE_f (raw) (eV per atom) = 0.10
- total moment (μB per formula unit) = 0.00

abc: 4.307 4.307 6.265
angles: 69.90 69.90 90.00
Fractional positions:
1 Sb 0.750 0.250 0.500
2 Sb 0.250 0.750 0.500
3 Pd 0.000 0.000 0.000
4 Rh 0.384 0.384 0.231
5 Rh 0.616 0.616 0.769

Entry 12:
This record from Alexandria describes a relaxed ZnFe4Pd15 crystal. The functional is PBE.

Values from the calculation:
- formation energy (eV/atom) = -0.15
- space-group type = No. 123
- total DFT energy (no corrections) (Ry per atom) = -0.4261
- total moment (μB per formula unit) = 16.87

abc: 3.909 3.909 19.443
angles: 90.00 90.00 90.00
Each line ends with the local moment (μB).
Fractional positions:
1 Fe 0.000 0.000 0.198  3.28
2 Fe 0.000 0.000 0.802  3.28
3 Fe 0.000 0.000 0.400  3.31
4 Fe 0.000 0.000 0.600  3.31
5 Pd 0.500 0.000 0.301  0.31
6 Pd 0.500 0.500 0.000  0.08
7 Pd 0.500 0.000 0.898  0.21
8 Pd 0.000 0.500 0.102  0.21
9 Pd 0.000 0.500 0.500  0.33
10 Pd 0.500 0.500 0.798  0.28
11 Pd 0.000 0.500 0.699  0.31
12 Pd 0.000 0.500 0.301  0.31
13 Pd 0.500 0.500 0.202  0.28
14 Pd 0.000 0.500 0.898  0.21
15 Pd 0.500 0.000 0.500  0.33
16 Pd 0.500 0.000 0.699  0.31
17 Pd 0.500 0.500 0.400  0.32
18 Pd 0.500 0.000 0.102  0.21
19 Pd 0.500 0.500 0.600  0.32
20 Zn 0.000 0.000 0.000  -0.02